First-principles (PBE-GGA) data for an optimized crystal structure of HPdS4, as listed in Alexandria.

Space group = No. 2
Spin magnetization = 0.00 Bohr magnetons per cell
DFT total energy = -4.244 eV per atom

a b c (Å): 3.658 7.256 8.701
angles (deg): 84.04 79.00 89.47
Fractional coordinates of all 12 atoms:
H1 0.069 0.323 0.438
H2 0.931 0.677 0.562
Pd1 0.000 0.000 0.000
Pd2 0.500 0.500 0.000
S1 0.038 0.689 0.908
S2 0.286 0.742 0.537
S3 0.420 0.954 0.187
S4 0.429 0.691 0.300
S5 0.571 0.309 0.700
S6 0.580 0.046 0.813
S7 0.714 0.258 0.463
S8 0.962 0.311 0.092

First-principles (PBE-GGA) data for an optimized crystal structure of La2Nd7SmTl2, as listed in Alexandria.

Space group = No. 12
Spin magnetization = 0.00 Bohr magnetons per cell
Energy relative to the elements = -0.037 eV/atom

a b c (Å): 6.210 6.210 11.471
angles (deg): 90.06 90.06 69.01
Fractional coordinates of all 12 atoms:
La1 0.000 0.000 0.147
La2 0.000 0.000 0.853
Nd1 0.000 0.000 0.500
Nd2 0.000 0.500 0.333
Nd3 0.000 0.500 0.667
Nd4 0.316 0.316 0.999
Nd5 0.500 0.000 0.333
Nd6 0.500 0.000 0.667
Nd7 0.684 0.684 0.001
Sm1 0.500 0.500 0.500
Tl1 0.499 0.499 0.226
Tl2 0.501 0.501 0.774

First-principles (PBE-GGA) data for an optimized crystal structure of Th6TlFe, as listed in Alexandria.

Space group = No. 166
Spin magnetization = 0.00 Bohr magnetons per cell
Energy relative to the elements = 0.059 eV/atom

a b c (Å): 6.408 6.408 6.408
angles (deg): 101.34 101.34 101.34
Fractional coordinates of all 8 atoms:
Th1 0.207 0.207 0.593
Th2 0.207 0.593 0.207
Th3 0.407 0.793 0.793
Th4 0.593 0.207 0.207
Th5 0.793 0.407 0.793
Th6 0.793 0.793 0.407
Tl1 0.000 0.000 0.000
Fe1 0.500 0.500 0.500

First-principles (PBE-GGA) data for an optimized crystal structure of Cs2Pb3Au2, as listed in Alexandria.

Space group = No. 12
Spin magnetization = 0.00 Bohr magnetons per cell
Energy relative to the elements = -0.173 eV/atom

a b c (Å): 13.855 4.751 9.392
angles (deg): 90.00 124.26 90.00
Fractional coordinates of all 14 atoms:
Cs1 0.140 0.000 0.278
Cs2 0.360 0.500 0.722
Cs3 0.640 0.500 0.278
Cs4 0.860 0.000 0.722
Pb1 0.000 0.500 0.500
Pb2 0.146 0.500 0.938
Pb3 0.354 0.000 0.062
Pb4 0.500 0.000 0.500
Pb5 0.646 0.000 0.938
Pb6 0.854 0.500 0.062
Au1 0.132 0.000 0.722
Au2 0.368 0.500 0.278
Au3 0.632 0.500 0.722
Au4 0.868 0.000 0.278

First-principles (PBE-GGA) data for an optimized crystal structure of Na2TiInTc, as listed in Alexandria.

Space group = No. 123
Spin magnetization = 1.52 Bohr magnetons per cell
Energy relative to the elements = 1.431 eV/atom

a b c (Å): 5.104 5.104 5.217
angles (deg): 90.00 90.00 90.00
Fractional coordinates of all 5 atoms:
Na1 0.000 0.500 0.000
Na2 0.500 0.000 0.000
Ti1 0.000 0.000 0.500
In1 0.500 0.500 0.000
Tc1 0.500 0.500 0.500

First-principles (PBE-GGA) data for an optimized crystal structure of Ga5Cu2, as listed in Alexandria.

Space group = No. 15
Spin magnetization = 0.00 Bohr magnetons per cell
Energy relative to the elements = -0.004 eV/atom

a b c (Å): 7.067 7.067 6.511
angles (deg): 100.87 100.87 48.26
Fractional coordinates of all 14 atoms:
Ga1 0.119 0.881 0.750
Ga2 0.174 0.269 0.352
Ga3 0.267 0.558 0.040
Ga4 0.269 0.174 0.852
Ga5 0.442 0.733 0.460
Ga6 0.558 0.267 0.540
Ga7 0.731 0.826 0.148
Ga8 0.733 0.442 0.960
Ga9 0.826 0.731 0.648
Ga10 0.881 0.119 0.250
Cu1 0.115 0.664 0.397
Cu2 0.336 0.885 0.103
Cu3 0.664 0.115 0.897
Cu4 0.885 0.336 0.603

First-principles (PBE-GGA) data for an optimized crystal structure of CaMo2Ru, as listed in Alexandria.

Space group = No. 44
Spin magnetization = 0.00 Bohr magnetons per cell
Energy relative to the elements = 0.521 eV/atom

a b c (Å): 3.156 4.938 9.078
angles (deg): 90.00 90.00 90.00
Fractional coordinates of all 8 atoms:
Ca1 0.000 0.000 0.000
Ca2 0.500 0.500 0.500
Mo1 0.000 0.000 0.497
Mo2 0.000 0.500 0.779
Mo3 0.500 0.000 0.279
Mo4 0.500 0.500 0.997
Ru1 0.000 0.500 0.233
Ru2 0.500 0.000 0.733

First-principles (PBE-GGA) data for an optimized crystal structure of Ce2Pm3S4, as listed in Alexandria.

Space group = No. 12
Spin magnetization = 2.19 Bohr magnetons per cell
Formation energy without anion corrections = -1738 meV per atom

a b c (Å): 6.958 6.958 9.819
angles (deg): 118.13 118.13 33.44
Fractional coordinates of all 9 atoms:
Ce1 0.100 0.100 0.400
Ce2 0.900 0.900 0.600
Pm1 0.295 0.295 0.198
Pm2 0.500 0.500 0.000
Pm3 0.705 0.705 0.802
S1 0.101 0.101 0.899
S2 0.301 0.301 0.698
S3 0.699 0.699 0.302
S4 0.899 0.899 0.101